Record 1
KGeTeO5 after structural relaxation, computed with PBE.

Cell lengths 5.9531, 5.9531, 7.6751 Å; angles 105.56, 105.56, 105.18 degrees
Element x y z (fractional)
1 O 0.9410 0.0590 0.7500
2 O 0.0590 0.9410 0.2500
3 O 0.1103 0.7024 0.8888
4 O 0.7708 0.6235 0.4111
5 O 0.6235 0.7708 0.9111
6 O 0.2976 0.8897 0.6112
7 O 0.7024 0.1103 0.3888
8 O 0.2292 0.3765 0.5889
9 O 0.3765 0.2292 0.0889
10 O 0.8897 0.2976 0.1112
11 Ge 0.6906 0.3094 0.2500
12 Ge 0.3094 0.6906 0.7500
13 K 0.3337 0.6663 0.2500
14 K 0.6663 0.3337 0.7500
15 Te 0.0000 0.0000 0.5000
16 Te 0.0000 0.0000 0.0000

Properties
**Energy relative to the elements, uncorrected**: -1.376 eV/atom
**Space group**: C2/c

Record 2
Pr2Al7Cu after structural relaxation, computed with PBE.

Cell lengths 4.2838, 4.2838, 11.0377 Å; angles 90.00, 90.00, 90.00 degrees
Element x y z (fractional)
1 Pr 0.0000 0.5000 0.2469
2 Pr 0.5000 0.0000 0.7531
3 Al 0.0000 0.0000 0.5000
4 Al 0.5000 0.5000 0.5000
5 Al 0.0000 0.5000 0.6419
6 Al 0.5000 0.0000 0.3581
7 Al 0.5000 0.0000 0.1276
8 Al 0.0000 0.5000 0.8724
9 Al 0.0000 0.0000 0.0000
10 Cu 0.5000 0.5000 0.0000

Properties
**Formation energy**: -358 meV/atom
**Space group**: P-4m2

Record 3
LiY12Co6 after structural relaxation, computed with PBE.

Cell lengths 8.4399, 8.4399, 8.4399 Å; angles 109.47, 109.47, 109.47 degrees
Element x y z (fractional)
1 Y 0.8043 0.3058 0.1101
2 Y 0.5016 0.1957 0.3058
3 Y 0.3058 0.1101 0.8043
4 Y 0.6942 0.4984 0.8043
5 Y 0.1957 0.3058 0.5016
6 Y 0.8899 0.1957 0.6942
7 Y 0.1957 0.6942 0.8899
8 Y 0.1101 0.8043 0.3058
9 Y 0.6942 0.8899 0.1957
10 Y 0.4984 0.8043 0.6942
11 Y 0.3058 0.5016 0.1957
12 Y 0.8043 0.6942 0.4984
13 Co 0.5000 0.1120 0.6120
14 Co 0.3880 0.5000 0.8880
15 Co 0.6120 0.5000 0.1120
16 Co 0.5000 0.8880 0.3880
17 Co 0.1120 0.6120 0.5000
18 Co 0.8880 0.3880 0.5000
19 Li 0.0000 0.0000 0.0000

Properties
**Formation energy**: -156 meV/atom
**Space group**: Im-3

Record 4
SrLaPd3 after structural relaxation, computed with PBE.

Cell lengths 5.2268, 5.2268, 5.2268 Å; angles 90.00, 90.00, 90.00 degrees
Element x y z (fractional)
1 Pd 0.0000 0.0000 0.5000
2 Pd 0.0000 0.5000 0.0000
3 Pd 0.5000 0.0000 0.0000
4 La 0.5000 0.5000 0.5000
5 Sr 0.0000 0.0000 0.0000

Properties
**Formation energy**: 269 meV/atom
**Space group**: Pm-3m

Record 5
PaAgHg2 after structural relaxation, computed with PBE.

Cell lengths 3.1184, 3.1184, 11.5614 Å; angles 82.25, 82.25, 60.00 degrees
Element x y z (fractional)
1 Hg 0.9066 0.9066 0.2803
2 Hg 0.0934 0.0934 0.7197
3 Ag 0.5000 0.5000 0.5000
4 Pa 0.0000 0.0000 0.0000

Properties
**Formation energy**: 261 meV/atom
**Space group**: R-3m

Record 6
Ba3Li8Pb after structural relaxation, computed with PBE.

Cell lengths 6.2056, 6.2056, 11.2857 Å; angles 74.04, 74.04, 60.00 degrees
Element x y z (fractional)
1 Li 0.0596 0.5699 0.8006
2 Li 0.5699 0.5699 0.8006
3 Li 0.5497 0.0611 0.3281
4 Li 0.3156 0.3156 0.0533
5 Li 0.8101 0.8101 0.5696
6 Li 0.0611 0.0611 0.3281
7 Li 0.5699 0.0596 0.8006
8 Li 0.0611 0.5497 0.3281
9 Pb 0.1274 0.1274 0.6178
10 Ba 0.4917 0.4917 0.5249
11 Ba 0.0105 0.0105 0.9685
12 Ba 0.6234 0.6234 0.1298

Properties
**Formation energy**: -48 meV/atom
**Space group**: R3m